#1
DFT (PBE-GGA) results for crystalline Cs2SnP at its relaxed geometry.

Values from the calculation:
Total magnetic moment, μB per formula unit: 0.986

a = 6.187 Å, b = 6.187 Å, c = 6.187 Å
α = 60.00°, β = 60.00°, γ = 60.00°
Last column: magnetic moment on the atom in μB.
Element x y z (fractional)
Sn 0.500 0.500 0.500  0.60
Cs 0.750 0.750 0.750  0.04
P 0.000 0.000 0.000  -0.27
Cs 0.250 0.250 0.250  0.04

=====

#2
DFT (PBE-GGA) results for crystalline Cs2SnP at its relaxed geometry.

Values from the calculation:
Total magnetic moment, μB per formula unit: 0.000

a = 13.716 Å, b = 13.716 Å, c = 10.042 Å
α = 46.93°, β = 46.93°, γ = 90.00°
Element x y z (fractional)
P 0.250 0.750 0.500
Cs 0.375 0.562 0.750
Cs 0.438 0.125 0.250
Sn 0.000 0.000 0.000
P 0.500 0.500 0.000
Sn 0.750 0.250 0.500
Cs 0.875 0.688 0.750
Cs 0.312 0.625 0.250

=====

Which structure is the most stable? The one labeled #2.

=====

#1
DFT (PBE-GGA) results for crystalline CsSr3P at its relaxed geometry.

Values from the calculation:
Total magnetic moment, μB per formula unit: 0.000

a = 6.224 Å, b = 6.224 Å, c = 6.224 Å
α = 90.00°, β = 90.00°, γ = 90.00°
Element x y z (fractional)
Sr 0.000 0.000 0.500
Cs 0.500 0.500 0.500
Sr 0.000 0.500 0.000
P 0.000 0.000 0.000
Sr 0.500 0.000 0.000

=====

#2
DFT (PBE-GGA) results for crystalline CsSr3P at its relaxed geometry.

Values from the calculation:
Total magnetic moment, μB per formula unit: 1.242

a = 6.031 Å, b = 6.031 Å, c = 6.031 Å
α = 90.00°, β = 90.00°, γ = 90.00°
Last column: magnetic moment on the atom in μB.
Element x y z (fractional)
Sr 0.000 0.000 0.500  0.12
Sr 0.500 0.000 0.000  0.06
P 0.500 0.500 0.500  -0.03
Cs 0.000 0.000 0.000  0.12
Sr 0.000 0.500 0.000  0.06

=====

Which structure is the most stable? The one labeled #1.

=====

#1
DFT (PBE-GGA) results for crystalline Cs2SrP at its relaxed geometry.

Values from the calculation:
Total magnetic moment, μB per formula unit: 0.000

a = 13.663 Å, b = 13.663 Å, c = 10.093 Å
α = 47.40°, β = 47.40°, γ = 90.00°
Element x y z (fractional)
Sr 0.000 0.000 0.000
Cs 0.289 0.625 0.250
Sr 0.750 0.250 0.500
Cs 0.875 0.711 0.750
P 0.250 0.750 0.500
Cs 0.461 0.125 0.250
Cs 0.375 0.539 0.750
P 0.500 0.500 0.000

=====

#2
DFT (PBE-GGA) results for crystalline Cs2SrP at its relaxed geometry.

Values from the calculation:
Total magnetic moment, μB per formula unit: 0.000

a = 6.293 Å, b = 6.293 Å, c = 6.293 Å
α = 60.00°, β = 60.00°, γ = 60.00°
Element x y z (fractional)
Sr 0.500 0.500 0.500
P 0.000 0.000 0.000
Cs 0.250 0.250 0.250
Cs 0.750 0.750 0.750

=====

Which structure is the most stable? The one labeled #1.

=====

#1
DFT (PBE-GGA) results for crystalline Cs2TaP2 at its relaxed geometry.

Values from the calculation:
Total magnetic moment, μB per formula unit: 2.398

a = 3.381 Å, b = 3.381 Å, c = 13.046 Å
α = 82.55°, β = 82.55°, γ = 90.00°
Last column: magnetic moment on the atom in μB.
Element x y z (fractional)
Cs 0.372 0.372 0.256  0.04
P 0.250 0.750 0.500  0.00
P 0.750 0.250 0.500  0.00
Cs 0.628 0.628 0.744  0.04
Ta 0.000 0.000 0.000  1.23

=====

#2
DFT (PBE-GGA) results for crystalline Cs2TaP2 at its relaxed geometry.

Values from the calculation:
Total magnetic moment, μB per formula unit: 1.759

a = 9.992 Å, b = 9.992 Å, c = 3.165 Å
α = 90.00°, β = 90.00°, γ = 90.00°
Last column: magnetic moment on the atom in μB.
Element x y z (fractional)
P 0.321 0.179 0.500  -0.17
P 0.821 0.321 0.500  -0.17
Cs 0.878 0.622 0.000  -0.01
P 0.679 0.821 0.500  -0.17
Cs 0.122 0.378 0.000  -0.01
Cs 0.622 0.122 0.000  -0.01
Ta 0.500 0.500 0.000  1.60
P 0.179 0.679 0.500  -0.17
Ta 0.000 0.000 0.000  1.60
Cs 0.378 0.878 0.000  -0.01

=====

Which structure is the most stable? The one labeled #1.